Entry 1:
This record from Alexandria via LeMat-Bulk describes SmYTh4 after structural relaxation. The functional is PBE.

Energy above the most stable polymorph in this dataset ... 220 meV/atom
Calculated density ... 9.3 g cm⁻³
E_form ... 0.262 eV/atom

a = 6.646 Å, b = 6.646 Å, c = 6.646 Å
α = 60.00°, β = 60.00°, γ = 60.00°
Atoms (fractional coordinates):
Th1 0.625 0.125 0.625
Th2 0.125 0.625 0.625
Th3 0.625 0.625 0.125
Th4 0.625 0.625 0.625
Sm1 0.250 0.250 0.250
Y1 0.000 0.000 0.000

***

Entry 2:
This record from Alexandria via LeMat-Bulk describes SmYTh2 after structural relaxation. The functional is PBE.

Energy above the most stable polymorph in this dataset ... 144 meV/atom
Calculated density ... 9.0 g cm⁻³
E_form ... 0.173 eV/atom

a = 5.693 Å, b = 5.693 Å, c = 5.693 Å
α = 60.00°, β = 60.00°, γ = 60.00°
Atoms (fractional coordinates):
Y1 0.500 0.500 0.500
Sm1 0.000 0.000 0.000
Th1 0.750 0.750 0.750
Th2 0.250 0.250 0.250

***

Entry 3:
This record from Alexandria via LeMat-Bulk describes Sm5Y3Th2 after structural relaxation. The functional is PBE.

Calculated density ... 7.2 g cm⁻³
E_form ... 0.215 eV/atom

a = 9.064 Å, b = 9.082 Å, c = 11.279 Å
α = 120.93°, β = 120.89°, γ = 73.91°
Atoms (fractional coordinates):
Sm1 0.971 0.221 0.443
Sm2 0.881 0.630 0.758
Sm3 0.280 0.530 0.060
Sm4 0.378 0.129 0.758
Sm5 0.119 0.370 0.242
Sm6 0.720 0.470 0.940
Sm7 0.029 0.779 0.557
Sm8 0.622 0.871 0.242
Sm9 0.530 0.280 0.559
Sm10 0.470 0.720 0.441
Th1 0.761 0.012 0.752
Th2 0.508 0.259 0.248
Th3 0.239 0.988 0.248
Th4 0.492 0.741 0.752
Y1 0.981 0.231 0.753
Y2 0.783 0.033 0.065
Y3 0.217 0.967 0.935
Y4 0.272 0.522 0.753
Y5 0.728 0.478 0.247
Y6 0.019 0.769 0.247

***

Entry 4:
This record from Alexandria via LeMat-Bulk describes Sm10YTh4 after structural relaxation. The functional is PBE.

Calculated density ... 8.1 g cm⁻³
E_form ... 0.372 eV/atom

a = 10.772 Å, b = 8.789 Å, c = 8.789 Å
α = 67.94°, β = 52.21°, γ = 52.21°
Atoms (fractional coordinates):
Sm1 0.552 0.905 0.672
Sm2 0.750 0.500 0.500
Sm3 0.458 0.672 0.095
Sm4 0.870 0.905 0.672
Sm5 0.775 0.672 0.095
Sm6 0.542 0.328 0.905
Sm7 0.130 0.095 0.328
Sm8 0.448 0.095 0.328
Sm9 0.250 0.500 0.500
Sm10 0.225 0.328 0.905
Th1 0.939 0.398 0.724
Th2 0.663 0.276 0.398
Th3 0.337 0.724 0.602
Th4 0.061 0.602 0.276
Y1 0.000 0.000 0.000